1.
Below is crystalline ScReMo2 at its relaxed geometry, with properties calculated at the GGA-PBEsol level.

Cell: 3.1492 4.4559 9.0380 Å, 90.00 90.00 90.00°
Space group Immm (No. 71)
Symmetry-distinct sites (fractional):
Sc 0.0000 0.0000 0.0000
Re 0.0000 0.0000 0.5000
Mo 0.0000 0.5000 0.2382

Properties
excess energy over the best structure of this formula in the dataset: 0.0 meV per atom
M_tot: 0.00 Bohr magnetons per cell
formation enthalpy at 0 K: -0.039 eV per atom



2.
Below is crystalline ScReMo2 at its relaxed geometry, with properties calculated at the GGA-PBEsol level.

Cell: 6.2978 6.2978 6.2978 Å, 90.00 90.00 90.00°
Space group Fm-3m (No. 225)
Symmetry-distinct sites (fractional):
Sc 0.0000 0.0000 0.0000
Re 0.0000 0.0000 0.5000
Mo 0.2500 0.2500 0.2500

Properties
excess energy over the best structure of this formula in the dataset: 42.6 meV per atom
M_tot: 0.00 Bohr magnetons per cell
formation enthalpy at 0 K: 0.004 eV per atom



3.
Below is crystalline ReMo3Se at its relaxed geometry, with properties calculated at the GGA-PBEsol level.

Cell: 4.6991 4.6991 4.6991 Å, 90.00 90.00 90.00°
Space group Pm-3m (No. 221)
Symmetry-distinct sites (fractional):
Re 0.0000 0.0000 0.0000
Mo 0.0000 0.0000 0.5000
Se 0.5000 0.5000 0.5000

Properties
M_tot: 0.00 Bohr magnetons per cell
energy relative to the elements, uncorrected: 1.810 eV/atom



4.
Below is crystalline Re9Mo3Se16 at its relaxed geometry, with properties calculated at the GGA-PBEsol level.

Cell: 6.6035 6.6047 13.2089 Å, 93.71 93.17 93.39°
Space group P1 (No. 1)
Symmetry-distinct sites (fractional):
Re 0.0000 0.0000 0.0000
Re 0.0008 0.0021 0.5003
Re 0.1315 0.6855 0.0911
Re 0.1330 0.6874 0.5909
Re 0.1712 0.9072 0.2675
Re 0.1733 0.9092 0.7678
Re 0.3535 0.0386 0.1098
Re 0.8171 0.8688 0.1580
Re 0.8192 0.8709 0.6581
Mo 0.0402 0.2226 0.1774
Mo 0.0430 0.2242 0.6779
Mo 0.3555 0.0411 0.6103
Se 0.2203 0.3269 0.0137
Se 0.2202 0.3298 0.5139
Se 0.3212 0.8209 0.4453
Se 0.3238 0.8193 0.9462
Se 0.3793 0.2395 0.2785
Se 0.3792 0.2418 0.7810
Se 0.4603 0.7134 0.7009
Se 0.4601 0.7142 0.2002
Se 0.7098 0.1889 0.0679
Se 0.7143 0.1900 0.5694
Se 0.7965 0.6642 0.9899
Se 0.7974 0.6663 0.4901
Se 0.8493 0.0868 0.3225
Se 0.8500 0.0873 0.8229
Se 0.9522 0.5819 0.2526
Se 0.9545 0.5842 0.7525

Properties
M_tot: 0.00 Bohr magnetons per cell
energy relative to the elements, uncorrected: -0.433 eV/atom



5.
Below is crystalline ReMoSe at its relaxed geometry, with properties calculated at the GGA-PBEsol level.

Cell: 2.9629 2.9629 10.0906 Å, 90.00 90.00 90.00°
Space group I4mm (No. 107)
Symmetry-distinct sites (fractional):
Re 0.0000 0.0000 0.0000
Mo 0.0000 0.0000 0.3249
Se 0.0000 0.0000 0.6639

Properties
M_tot: 0.00 Bohr magnetons per cell
energy relative to the elements, uncorrected: 0.125 eV/atom



6.
Below is crystalline Re2MoSe4 at its relaxed geometry, with properties calculated at the GGA-PBEsol level.

Cell: 6.6117 6.6126 6.6131 Å, 93.60 93.52 93.12°
Space group P1 (No. 1)
Symmetry-distinct sites (fractional):
Re 0.0000 0.0000 0.0000
Re 0.0402 0.3526 0.2199
Re 0.1719 0.5326 0.9056
Re 0.3528 0.2175 0.0373
Mo 0.1297 0.1784 0.6847
Mo 0.8180 0.3139 0.8666
Se 0.2187 0.0299 0.3243
Se 0.3211 0.8887 0.8210
Se 0.3754 0.5528 0.2409
Se 0.4580 0.3950 0.7189
Se 0.7132 0.1332 0.1945
Se 0.7943 0.9729 0.6674
Se 0.8524 0.6431 0.0856
Se 0.9532 0.5056 0.5779

Properties
M_tot: 0.00 Bohr magnetons per cell
energy relative to the elements, uncorrected: -0.483 eV/atom



7.
Below is crystalline ZnReMoSe2 at its relaxed geometry, with properties calculated at the GGA-PBEsol level.

Cell: 4.7634 4.7634 4.9377 Å, 90.00 90.00 90.00°
Space group P4/mmm (No. 123)
Symmetry-distinct sites (fractional):
Zn 0.0000 0.0000 0.0000
Re 0.5000 0.5000 0.0000
Mo 0.0000 0.0000 0.5000
Se 0.0000 0.5000 0.5000

Properties
M_tot: 5.02 Bohr magnetons per cell
energy relative to the elements, uncorrected: 1.473 eV/atom



8.
Below is crystalline ReSiMo2 at its relaxed geometry, with properties calculated at the GGA-PBEsol level.

Cell: 3.6807 3.6807 8.4411 Å, 90.00 90.00 90.00°
Space group I4/mmm (No. 139)
Symmetry-distinct sites (fractional):
Re 0.0000 0.0000 0.0000
Si 0.0000 0.0000 0.5000
Mo 0.0000 0.5000 0.2500

Properties
M_tot: 0.00 Bohr magnetons per cell
energy relative to the elements, uncorrected: -0.041 eV/atom



9.
Below is crystalline ReSi2Mo at its relaxed geometry, with properties calculated at the GGA-PBEsol level.

Cell: 3.1163 3.1163 5.5433 Å, 90.00 90.00 90.00°
Space group P4mm (No. 99)
Symmetry-distinct sites (fractional):
Re 0.0000 0.0000 0.0000
Si 0.0000 0.0000 0.4639
Si 0.5000 0.5000 0.2139
Mo 0.5000 0.5000 0.6841

Properties
M_tot: 0.00 Bohr magnetons per cell
energy relative to the elements, uncorrected: -0.448 eV/atom



10.
Below is crystalline Re2SiMo at its relaxed geometry, with properties calculated at the GGA-PBEsol level.

Cell: 3.0195 4.5654 8.2973 Å, 90.00 90.00 90.00°
Space group Cmmm (No. 65)
Symmetry-distinct sites (fractional):
Re 0.0000 0.0000 0.2353
Si 0.0000 0.5000 0.0000
Mo 0.0000 0.5000 0.5000

Properties
M_tot: 0.00 Bohr magnetons per cell
energy relative to the elements, uncorrected: 0.136 eV/atom



11.
Below is crystalline ReSiMo2 at its relaxed geometry, with properties calculated at the GGA-PBEsol level.

Cell: 2.7870 2.7870 25.9906 Å, 90.00 90.00 120.00°
Space group R-3m (No. 166, hexagonal axes)
Symmetry-distinct sites (fractional):
Re 0.0000 0.0000 0.0000
Si 0.0000 0.0000 0.5000
Mo 0.0000 0.0000 0.2484

Properties
M_tot: 0.00 Bohr magnetons per cell
energy relative to the elements, uncorrected: 0.038 eV/atom



12.
Below is crystalline Sr2ReMo at its relaxed geometry, with properties calculated at the GGA-PBEsol level.

Cell: 3.3730 3.8273 18.0967 Å, 90.00 90.00 90.00°
Space group Immm (No. 71)
Symmetry-distinct sites (fractional):
Sr 0.0000 0.0000 0.1485
Re 0.0000 0.5000 0.5000
Mo 0.0000 0.5000 0.0000

Properties
excess energy over the best structure of this formula in the dataset: 0.0 meV per atom
M_tot: 0.00 Bohr magnetons per cell
formation enthalpy at 0 K: 0.705 eV per atom



13.
Below is crystalline SrRe2Mo at its relaxed geometry, with properties calculated at the GGA-PBEsol level.

Cell: 5.4464 9.7435 2.6260 Å, 90.00 90.00 90.00°
Space group Cmmm (No. 65)
Symmetry-distinct sites (fractional):
Sr 0.0000 0.0000 0.0000
Re 0.2500 0.2500 0.5000
Mo 0.0000 0.5000 0.0000

Properties
excess energy over the best structure of this formula in the dataset: 346.6 meV per atom
M_tot: 0.00 Bohr magnetons per cell
formation enthalpy at 0 K: 1.181 eV per atom



14.
Below is crystalline SrRe2Mo at its relaxed geometry, with properties calculated at the GGA-PBEsol level.

Cell: 2.8328 2.8328 30.1657 Å, 90.00 90.00 120.00°
Space group R3m (No. 160, hexagonal axes)
Symmetry-distinct sites (fractional):
Sr 0.0000 0.0000 0.0000
Re 0.0000 0.0000 0.2402
Re 0.0000 0.0000 0.5038
Mo 0.0000 0.0000 0.7634

Properties
excess energy over the best structure of this formula in the dataset: 0.0 meV per atom
M_tot: 0.00 Bohr magnetons per cell
formation enthalpy at 0 K: 0.835 eV per atom



15.
Below is crystalline Sr2ReMo at its relaxed geometry, with properties calculated at the GGA-PBEsol level.

Cell: 2.8040 5.3167 5.6261 Å, 90.00 90.13 90.00°
Space group P2/m (No. 10)
Symmetry-distinct sites (fractional):
Sr 0.0011 0.0000 0.2515
Re 0.5000 0.5000 0.5000
Mo 0.5000 0.5000 0.0000

Properties
excess energy over the best structure of this formula in the dataset: 537.3 meV per atom
M_tot: 0.00 Bohr magnetons per cell
formation enthalpy at 0 K: 1.242 eV per atom



16.
Below is crystalline TaReMo2 at its relaxed geometry, with properties calculated at the GGA-PBEsol level.

Cell: 3.1468 4.4326 8.9560 Å, 90.00 90.00 90.00°
Space group Immm (No. 71)
Symmetry-distinct sites (fractional):
Ta 0.0000 0.0000 0.0000
Re 0.0000 0.0000 0.5000
Mo 0.0000 0.5000 0.2485

Properties
excess energy over the best structure of this formula in the dataset: 14.8 meV per atom
M_tot: 0.00 Bohr magnetons per cell
formation enthalpy at 0 K: -0.147 eV per atom



17.
Below is crystalline TaReMo3 at its relaxed geometry, with properties calculated at the GGA-PBEsol level.

Cell: 4.5958 4.5958 4.5958 Å, 90.00 90.00 90.00°
Space group Pm-3m (No. 221)
Symmetry-distinct sites (fractional):
Ta 0.0000 0.0000 0.0000
Re 0.5000 0.5000 0.5000
Mo 0.0000 0.0000 0.5000

Properties
M_tot: 0.00 Bohr magnetons per cell
formation enthalpy at 0 K: 2.346 eV per atom



18.
Below is crystalline TaReMo2 at its relaxed geometry, with properties calculated at the GGA-PBEsol level.

Cell: 3.1458 4.4436 4.4636 Å, 90.00 90.00 90.00°
Space group Pmmm (No. 47)
Symmetry-distinct sites (fractional):
Ta 0.0000 0.0000 0.0000
Re 0.5000 0.5000 0.0000
Mo 0.0000 0.5000 0.5000
Mo 0.5000 0.0000 0.5000

Properties
excess energy over the best structure of this formula in the dataset: 2.8 meV per atom
M_tot: 0.00 Bohr magnetons per cell
formation enthalpy at 0 K: -0.159 eV per atom



19.
Below is crystalline TaReMo2 at its relaxed geometry, with properties calculated at the GGA-PBEsol level.

Cell: 6.2929 6.2929 6.2929 Å, 90.00 90.00 90.00°
Space group F-43m (No. 216)
Symmetry-distinct sites (fractional):
Ta 0.0000 0.0000 0.0000
Re 0.2500 0.2500 0.2500
Mo 0.0000 0.0000 0.5000
Mo 0.2500 0.2500 0.7500

Properties
excess energy over the best structure of this formula in the dataset: 0.0 meV per atom
M_tot: 0.00 Bohr magnetons per cell
formation enthalpy at 0 K: -0.162 eV per atom



20.
Below is crystalline TaReMo2 at its relaxed geometry, with properties calculated at the GGA-PBEsol level.

Cell: 3.1451 4.4515 8.9089 Å, 90.00 90.00 90.00°
Space group Imm2 (No. 44)
Symmetry-distinct sites (fractional):
Ta 0.0000 0.0000 0.0000
Re 0.0000 0.5000 0.2480
Mo 0.0000 0.0000 0.4995
Mo 0.0000 0.5000 0.7526

Properties
excess energy over the best structure of this formula in the dataset: 28.3 meV per atom
M_tot: 0.00 Bohr magnetons per cell
formation enthalpy at 0 K: -0.134 eV per atom